1.
The following is a DFT calculation (GGA-PBE) of a relaxed structure of AcLaSn.

a b c (Å): 4.871 4.863 18.330
angles (deg): 90.00 90.00 90.00
Last column: magnetic moment on the atom in μB.
Element x y z (fractional)
La 0.250 0.250 0.001  0.16
Ac 0.750 0.250 0.821  0.13
La 0.250 0.250 0.501  0.16
Sn 0.750 0.250 0.132  0.00
La 0.750 0.750 0.999  0.16
Ac 0.250 0.750 0.679  0.13
Sn 0.250 0.750 0.368  0.00
Sn 0.750 0.250 0.632  0.00
La 0.750 0.750 0.499  0.16
Ac 0.250 0.750 0.179  0.13
Ac 0.750 0.250 0.321  0.13
Sn 0.250 0.750 0.868  0.00

## Properties
Its polymorph energy (0 for the lowest one) is 20 meV/atom. As for the formation energy: -0.58 eV/atom.

***

2.
The following is a DFT calculation (GGA-PBE) of a relaxed structure of Pr5PtPb2.

a b c (Å): 4.768 8.324 12.887
angles (deg): 90.00 90.00 90.00
Element x y z (fractional)
Pb 0.500 0.925 0.672
Pr 0.000 0.500 0.000
Pt 0.000 0.500 0.500
Pr 0.500 0.316 0.564
Pr 0.500 0.816 0.936
Pr 0.000 0.000 0.500
Pb 0.500 0.575 0.172
Pr 0.000 0.646 0.709
Pt 0.000 0.000 0.000
Pb 0.500 0.075 0.328
Pr 0.000 0.354 0.291
Pr 0.500 0.184 0.064
Pr 0.500 0.684 0.436
Pr 0.000 0.854 0.209
Pr 0.000 0.146 0.791
Pb 0.500 0.425 0.828

## Properties
As for the formation energy: -0.65 eV/atom.

***

3.
The following is a DFT calculation (GGA-PBE) of a relaxed structure of Y2NiPdSe.

a b c (Å): 5.181 4.507 5.181
angles (deg): 90.00 90.00 90.00
Element x y z (fractional)
Pd 0.000 0.500 0.000
Y 0.500 0.000 0.000
Y 0.000 0.000 0.500
Se 0.500 0.500 0.500
Ni 0.000 0.000 0.000

## Properties
The uncorrected formation energy comes out at -39.0 kJ/mol of atoms.

***

4.
The following is a DFT calculation (GGA-PBE) of a relaxed structure of Cs3NaCu2Br8.

a b c (Å): 7.708 7.708 10.267
angles (deg): 90.00 90.00 120.00
Last column: magnetic moment on the atom in μB.
Element x y z (fractional)
Br 0.832 0.168 0.686  0.11
Br 0.168 0.832 0.314  0.11
Br 0.336 0.168 0.686  0.11
Cs 0.333 0.667 0.634  0.00
Br 0.832 0.664 0.686  0.11
Br 0.667 0.333 0.014  0.13
Br 0.168 0.336 0.314  0.11
Cu 0.667 0.333 0.786  0.46
Cu 0.333 0.667 0.214  0.46
Cs 0.667 0.333 0.366  0.00
Br 0.333 0.667 0.986  0.13
Na 0.000 0.000 0.500  0.00
Cs 0.000 0.000 0.000  0.00
Br 0.664 0.832 0.314  0.11

## Properties
The uncorrected formation energy comes out at -106.2 kJ/mol of atoms.

***

no.,volume (Å³ per cell),E (eV/atom)
1,434.2,-4.927
2,511.4,-5.321
3,121.0,-5.882
4,528.3,-2.919